No. 1
A relaxed structure of Tm2PaHg. Source: the Alexandria database, functional GGA-PBE.

Geometry as POSCAR:
```
Tm2PaHg
1.0
1.6440 0.9491 11.4651
-1.6440 0.9491 11.4651
0.0000 -1.8983 11.4651
Tm Pa Hg
2 1 1
direct
0.0933 0.0933 0.0933
0.9067 0.9067 0.9067
0.0000 0.0000 0.0000
0.5000 0.5000 0.5000
```

No. 2
A relaxed structure of UPa2Hg. Source: the Alexandria database, functional GGA-PBE.

Geometry as POSCAR:
```
UPa2Hg
1.0
3.6258 0.0000 0.0000
0.0000 3.6258 0.0000
0.0000 0.0000 7.2619
U Pa Hg
1 2 1
direct
0.0000 0.0000 0.0000
0.5000 0.5000 0.2199
0.5000 0.5000 0.7801
0.0000 0.0000 0.5000
```

No. 3
A relaxed structure of UPa2Hg. Source: the Alexandria database, functional GGA-PBE.

Geometry as POSCAR:
```
UPa2Hg
1.0
4.7282 0.0000 0.0000
0.0000 4.7282 0.0000
0.0000 0.0000 4.2770
U Pa Hg
1 2 1
direct
0.0000 0.0000 0.0000
0.0000 0.5000 0.5000
0.5000 0.0000 0.5000
0.5000 0.5000 0.0000
```

No. 4
A relaxed structure of UPa2Hg. Source: the Alexandria database, functional GGA-PBE.

Geometry as POSCAR:
```
UPa2Hg
1.0
1.8306 1.0569 8.3287
-1.8306 1.0569 8.3287
0.0000 -2.1138 8.3287
U Pa Hg
1 2 1
direct
0.0000 0.0000 0.0000
0.2663 0.2663 0.2663
0.7337 0.7337 0.7337
0.5000 0.5000 0.5000
```

no.,excess energy over the best structure of this formula in the dataset (eV per atom),Fermi-level density of states (states/eV per cell),DFT formation energy (eV/atom)
1,0.313,5.6,0.16
2,0.000,9.9,0.20
3,0.064,11.6,0.26
4,0.112,4.8,0.31